No. 1
## YAg4 (PBE)

Data for an optimized crystal structure of YAg4.

- Space group: I4/mmm
- Volume: 20.4 A^3/atom
- Crystal system: tetragonal
- ΔE_f: -0.1370 eV per atom
- Total moment: 0.00 μB/cell

a b c (Å): 3.6422 8.1141 3.6421
angles (deg): 77.04 89.97 102.96
Element x y z (fractional)
Ag (0.0092, 0.0184, 0.9908)
Ag (0.1971, 0.3941, 0.8029)
Ag (0.6029, 0.2059, 0.3971)
Ag (0.7908, 0.5816, 0.2092)
Y (0.4000, 0.8000, 0.6000)

***

No. 2
## Hf2PaFe (PBE)

Data for an optimized crystal structure of Hf2PaFe.

- Space group: R-3m
- Volume: 20.4 A^3/atom
- Crystal system: trigonal
- Distance to the lowest polymorph of the same formula: 0.349 eV/atom
- ΔE_f: 0.2895 eV per atom
- Total moment: 0.66 μB/cell

a b c (Å): 3.0932 3.0932 10.0111
angles (deg): 81.11 81.11 60.00
Each line ends with the local moment (μB).
Element x y z (fractional)
Hf (0.8981, 0.8981, 0.3056)  -0.11
Hf (0.1019, 0.1019, 0.6944)  -0.11
Fe (0.5000, 0.5000, 0.5000)  1.06
Pa (0.0000, 0.0000, 0.0000)  -0.11

***

No. 3
## Ca2TaTl (PBE)

Data for an optimized crystal structure of Ca2TaTl.

- Space group: Imm2
- Volume: 27.4 A^3/atom
- Crystal system: orthorhombic
- Distance to the lowest polymorph of the same formula: 0.089 eV/atom
- ΔE_f: 0.4330 eV per atom
- Total moment: 0.83 μB/cell

a b c (Å): 6.6382 6.6382 6.6382
angles (deg): 150.15 130.59 58.80
Each line ends with the local moment (μB).
Element x y z (fractional)
Tl (0.2704, 0.7704, 0.5000)  0.00
Ca (0.7306, 0.2306, 0.5000)  0.01
Ca (0.0249, 0.0249, 0.0000)  0.02
Ta (0.4741, 0.4741, 0.0000)  0.46

***

No. 4
## Rb2ReAuN (PBE)

Data for an optimized crystal structure of Rb2ReAuN.

- Space group: P4/mmm
- Volume: 35.4 A^3/atom
- ΔE_f (raw): 545 meV per atom
- Crystal system: tetragonal
- Total moment: 2.17 μB/cell

a b c (Å): 6.8223 3.8023 6.8223
angles (deg): 90.00 90.00 90.00
Each line ends with the local moment (μB).
Element x y z (fractional)
N (0.0000, 0.5000, 0.0000)  -0.12
Rb (0.5000, 0.0000, 0.0000)  0.01
Rb (0.0000, 0.0000, 0.5000)  0.00
Au (0.5000, 0.5000, 0.5000)  0.01
Re (0.0000, 0.0000, 0.0000)  1.92

***

No. 5
## AcSmDy2 (PBE)

Data for an optimized crystal structure of AcSmDy2.

- Space group: P4/mmm
- Volume: 35.0 A^3/atom
- Crystal system: tetragonal
- Distance to the lowest polymorph of the same formula: 0.002 eV/atom
- ΔE_f: 0.0499 eV per atom
- Total moment: 0.00 μB/cell

a b c (Å): 5.1335 5.2236 5.2236
angles (deg): 90.00 90.00 90.00
Element x y z (fractional)
Dy (0.0000, 0.0000, 0.5000)
Dy (0.0000, 0.5000, 0.0000)
Ac (0.5000, 0.5000, 0.5000)
Sm (0.5000, 0.0000, 0.0000)

***

No. 6
## K2SrGe2O6 (PBE)

Data for an optimized crystal structure of K2SrGe2O6.

- Space group: C2/m
- Volume: 18.8 A^3/atom
- ΔE_f (raw): -1838 meV per atom
- Crystal system: monoclinic
- Total moment: 0.00 μB/cell

a b c (Å): 6.3097 6.1045 7.0099
angles (deg): 112.70 90.00 121.12
Element x y z (fractional)
O (0.8086, 0.0789, 0.7872)
O (0.2397, 0.4795, 0.3847)
O (0.7297, 0.9211, 0.2128)
O (0.7603, 0.5205, 0.6153)
O (0.2703, 0.0789, 0.7872)
O (0.1914, 0.9211, 0.2128)
Ge (0.9420, 0.8841, 0.7328)
Ge (0.0580, 0.1159, 0.2672)
Sr (0.5000, 0.0000, 0.5000)
K (0.3055, 0.6109, 0.8572)
K (0.6945, 0.3891, 0.1428)

***

No. 7
## LiHo2Os (PBE)

Data for an optimized crystal structure of LiHo2Os.

- Space group: R-3m
- Volume: 32.6 A^3/atom
- Crystal system: trigonal
- Distance to the lowest polymorph of the same formula: 0.462 eV/atom
- ΔE_f: 0.2062 eV per atom
- Total moment: 0.00 μB/cell

a b c (Å): 3.9007 3.9007 10.1578
angles (deg): 78.93 78.93 60.00
Element x y z (fractional)
Li (0.0000, 0.0000, 0.0000)
Ho (0.1154, 0.1154, 0.6539)
Ho (0.8846, 0.8846, 0.3461)
Os (0.5000, 0.5000, 0.5000)

***

No. 8
## OsPtSe (PBE)

Data for an optimized crystal structure of OsPtSe.

- Space group: P3m1
- Volume: 16.2 A^3/atom
- ΔE_f (raw): 369 meV per atom
- Crystal system: trigonal
- Distance to the lowest polymorph of the same formula: 0.000 eV/atom
- Total moment: 0.00 μB/cell

a b c (Å): 2.9397 2.9397 6.5078
angles (deg): 90.00 90.00 120.00
Element x y z (fractional)
Os (0.0000, 0.0000, 0.9804)
Se (0.3333, 0.6667, 0.6992)
Pt (0.6667, 0.3333, 0.3204)